Record 1
# LaGa2Re2

A PBEsol-optimized structure of LaGa2Re2 (SCAN, the Alexandria database).

The structure belongs to space group I4/mmm (No. 139); the cell edges are 4.529, 4.529 and 9.529 Å and the angles 90.00°, 90.00° and 90.00°. The asymmetric unit holds La at (0.000, 0.000, 0.000), Ga at (0.000, 0.500, 0.250) and Re at (0.000, 0.000, 0.379).

As for the crystal system: tetragonal. The volume comes out at 195 Å³/cell. The formation energy from the elements comes out at -0.144 eV per atom.


Record 2
# LaGa2Rh2

A PBEsol-optimized structure of LaGa2Rh2 (SCAN, the Alexandria database).

The structure belongs to space group I4/mmm (No. 139); the cell edges are 4.260, 4.260 and 10.017 Å and the angles 90.00°, 90.00° and 90.00°. The asymmetric unit holds La at (0.000, 0.000, 0.000), Ga at (0.000, 0.000, 0.371) and Rh at (0.000, 0.500, 0.250).

As for the crystal system: tetragonal. The volume comes out at 182 Å³/cell. The formation energy from the elements comes out at -0.951 eV per atom.


Record 3
# La3Ga2Rh2

A PBEsol-optimized structure of La3Ga2Rh2 (SCAN, the Alexandria database).

The structure belongs to space group Pbcm (No. 57); the cell edges are 5.697, 8.134 and 13.583 Å and the angles 90.00°, 90.00° and 90.00°. The asymmetric unit holds La at (0.133, 0.241, 0.250), La at (0.348, 0.600, 0.096), Ga at (0.133, 0.250, 0.000), Ga at (0.361, 0.608, 0.750) and Rh at (0.137, 0.532, 0.590).

As for the crystal system: orthorhombic. The volume comes out at 629 Å³/cell. The formation energy from the elements comes out at -0.876 eV per atom.


Record 4
# LaGa2Rh3

A PBEsol-optimized structure of LaGa2Rh3 (SCAN, the Alexandria database).

The structure belongs to space group P6/mmm (No. 191); the cell edges are 5.5942, 5.5942 and 3.7752 Å and the angles 90.00°, 90.00° and 120.00°. The asymmetric unit holds La at (0.0000, 0.0000, 0.0000), Ga at (0.3333, 0.6667, 0.0000) and Rh at (0.0000, 0.5000, 0.5000).

As for the crystal system: hexagonal. The volume comes out at 102 Å³/cell. The formation energy from the elements comes out at -0.906 eV per atom.


Record 5
# La2GaRu2

A PBEsol-optimized structure of La2GaRu2 (SCAN, the Alexandria database).

The structure belongs to space group P4/mbm (No. 127); the cell edges are 6.853, 6.853 and 4.403 Å and the angles 90.00°, 90.00° and 90.00°. The asymmetric unit holds La at (0.182, 0.318, 0.000), Ga at (0.000, 0.000, 0.500) and Ru at (0.138, 0.638, 0.500).

As for the crystal system: tetragonal. The volume comes out at 207 Å³/cell. The formation energy from the elements comes out at -0.360 eV per atom.


Record 6
# La3GaS

A PBEsol-optimized structure of La3GaS (SCAN, the Alexandria database).

The structure belongs to space group Pm-3m (No. 221); the cell edges are 5.580, 5.580 and 5.580 Å and the angles 90.00°, 90.00° and 90.00°. The asymmetric unit holds La at (0.000, 0.000, 0.500), Ga at (0.000, 0.000, 0.000) and S at (0.500, 0.500, 0.500).

Its formation energy (no corrections) is -0.23 eV/atom. As for the crystal system: cubic. The volume comes out at 174 Å³/cell.


Record 7
# LaGaSb2

A PBEsol-optimized structure of LaGaSb2 (SCAN, the Alexandria database).

The structure belongs to space group C222_1 (No. 20); the cell edges are 4.332, 22.704 and 4.359 Å and the angles 90.00°, 90.00° and 90.00°. The asymmetric unit holds La at (0.000, 0.137, 0.250), Ga at (0.153, 0.000, 0.000), Sb at (0.000, 0.250, 0.750) and Sb at (0.000, 0.411, 0.250).

Its formation energy (no corrections) is -0.78 eV/atom. As for the crystal system: orthorhombic. The volume comes out at 429 Å³/cell.


Record 8
# LaGaSb3

A PBEsol-optimized structure of LaGaSb3 (SCAN, the Alexandria database).

The structure belongs to space group Pm-3m (No. 221); the cell edges are 5.246, 5.246 and 5.246 Å and the angles 90.00°, 90.00° and 90.00°. The asymmetric unit holds La at (0.000, 0.000, 0.000), Ga at (0.500, 0.500, 0.500) and Sb at (0.000, 0.500, 0.500).

Its formation energy (no corrections) is -0.11 eV/atom. As for the crystal system: cubic. The volume comes out at 144 Å³/cell.


Record 9
# La2GaSnSb

A PBEsol-optimized structure of La2GaSnSb (SCAN, the Alexandria database).

The structure belongs to space group P4/mmm (No. 123); the cell edges are 5.671, 5.671 and 5.006 Å and the angles 90.00°, 90.00° and 90.00°. The asymmetric unit holds La at (0.000, 0.500, 0.000), Ga at (0.000, 0.000, 0.000), Sn at (0.500, 0.500, 0.500) and Sb at (0.000, 0.000, 0.500).

Its formation energy (no corrections) is -0.27 eV/atom. As for the crystal system: tetragonal. The volume comes out at 161 Å³/cell.


Record 10
# LaGaSb2Te

A PBEsol-optimized structure of LaGaSb2Te (SCAN, the Alexandria database).

The structure belongs to space group P4/mmm (No. 123); the cell edges are 5.214, 5.214 and 5.405 Å and the angles 90.00°, 90.00° and 90.00°. The asymmetric unit holds La at (0.000, 0.000, 0.000), Ga at (0.500, 0.500, 0.500), Sb at (0.000, 0.500, 0.500) and Te at (0.500, 0.500, 0.000).

Its formation energy (no corrections) is -0.23 eV/atom. As for the crystal system: tetragonal. The volume comes out at 147 Å³/cell.


Record 11
# LaGaSbTe2

A PBEsol-optimized structure of LaGaSbTe2 (SCAN, the Alexandria database).

The structure belongs to space group P4/mmm (No. 123); the cell edges are 5.360, 5.360 and 5.180 Å and the angles 90.00°, 90.00° and 90.00°. The asymmetric unit holds La at (0.000, 0.000, 0.000), Ga at (0.500, 0.500, 0.500), Sb at (0.500, 0.500, 0.000) and Te at (0.000, 0.500, 0.500).

Its formation energy (no corrections) is -0.38 eV/atom. As for the crystal system: tetragonal. The volume comes out at 149 Å³/cell.


Record 12
# LaScGa2

A PBEsol-optimized structure of LaScGa2 (SCAN, the Alexandria database).

The structure belongs to space group Fm-3m (No. 225); the cell edges are 7.051, 7.051 and 7.051 Å and the angles 90.00°, 90.00° and 90.00°. The asymmetric unit holds La at (0.000, 0.000, 0.000), Sc at (0.000, 0.000, 0.500) and Ga at (0.250, 0.250, 0.250).

As for the crystal system: cubic. The volume comes out at 350 Å³/cell. The formation energy from the elements comes out at -0.615 eV per atom.